Entry from Alexandria via LeMat-Bulk: crystalline LiCr2Os at its relaxed geometry (GGA-PBEsol).

a = 4.137 Å, b = 4.137 Å, c = 2.896 Å
α = 90.00°, β = 90.00°, γ = 90.00°
Space group P4/mmm (No. 123)
Unique sites:
Li 0.000 0.000 0.000 [1 per cell]
Cr 0.000 0.500 0.500 [2 per cell]
Os 0.500 0.500 0.000 [1 per cell]

Output
The density of states at the Fermi level comes out at 0.8361 states/eV per atom. The magnetization comes out at 2.99 μB per formula unit. For the calculated formation energy, the calculation gives 405.2 meV/atom.

***

Entry from Alexandria via LeMat-Bulk: crystalline SnSb2Au at its relaxed geometry (GGA-PBEsol).

a = 6.352 Å, b = 6.352 Å, c = 12.608 Å
α = 90.00°, β = 90.00°, γ = 90.00°
Space group I-42d (No. 122)
Unique sites:
Sn 0.000 0.000 0.000 [4 per cell]
Sb 0.222 0.250 0.625 [8 per cell]
Au 0.000 0.000 0.500 [4 per cell]

Output
The density of states at the Fermi level comes out at 0.5020 states/eV per atom. The magnetization comes out at 0.00 μB per formula unit. For the total energy, the calculation gives -68.45 eV per cell.

***

Entry from Alexandria via LeMat-Bulk: crystalline ReTe2S at its relaxed geometry (GGA-PBEsol).

a = 6.774 Å, b = 6.774 Å, c = 9.285 Å
α = 90.00°, β = 90.00°, γ = 90.00°
Space group I-42d (No. 122)
Unique sites:
Re 0.000 0.000 0.000 [4 per cell]
Te 0.217 0.750 0.125 [8 per cell]
S 0.000 0.000 0.500 [4 per cell]

Output
The density of states at the Fermi level comes out at 0.9004 states/eV per atom. The magnetization comes out at 0.00 μB per formula unit. For the total energy, the calculation gives -87.51 eV per cell.

***

Q: Among the records above, which one has the lowest density of states at the Fermi level?
A: SnSb2Au